Computed, not measured: LaWBr2 at its PBEsol-relaxed geometry at the SCAN level of DFT.

Cell lengths 3.220, 3.220, 9.532 Å; angles 80.28, 80.28, 60.00 degrees
Atoms (fractional coordinates):
Br1 0.263 0.263 0.210
Br2 0.737 0.737 0.790
W1 0.000 0.000 0.000
La1 0.500 0.500 0.500

Properties
The symmetry is R-3m, No. 166. The raw formation energy comes out at 1.666 eV/f.u. The total energy comes out at -37.51 eV/atom. Its crystal system is trigonal. The calculation puts the distance to the lowest polymorph of the same formula at 82 meV/atom.

Computed, not measured: LaWBr2 at its PBEsol-relaxed geometry at the SCAN level of DFT.

Cell lengths 3.222, 3.349, 9.348 Å; angles 90.00, 90.00, 118.75 degrees
Atoms (fractional coordinates):
Br1 0.000 0.000 0.783
Br2 0.000 0.000 0.217
W1 0.500 0.000 0.000
La1 0.500 0.000 0.500

Properties
The symmetry is Cmmm, No. 65. The raw formation energy comes out at 1.718 eV/f.u. The total energy comes out at -37.50 eV/atom. Its crystal system is orthorhombic. The calculation puts the distance to the lowest polymorph of the same formula at 95 meV/atom.

Computed, not measured: LaW2Br at its PBEsol-relaxed geometry at the SCAN level of DFT.

Cell lengths 3.198, 4.270, 7.803 Å; angles 74.60, 78.18, 68.01 degrees
Atoms (fractional coordinates):
Br1 0.419 0.638 0.523
W1 0.041 0.962 0.955
W2 0.808 0.573 0.811
La1 0.231 0.326 0.211

Properties
The symmetry is Cm, No. 8. The raw formation energy comes out at 1.177 eV/f.u. The total energy comes out at -50.19 eV/atom. Its crystal system is monoclinic. The calculation puts the distance to the lowest polymorph of the same formula at 0 meV/atom.

Computed, not measured: LaWBr3 at its PBEsol-relaxed geometry at the SCAN level of DFT.

Cell lengths 5.751, 5.751, 5.751 Å; angles 90.00, 90.00, 90.00 degrees
Atoms (fractional coordinates):
Br1 0.000 0.500 0.000
Br2 0.000 0.000 0.500
Br3 0.500 0.000 0.000
W1 0.500 0.500 0.500
La1 0.000 0.000 0.000

Properties
The symmetry is Pm-3m, No. 221. The raw formation energy comes out at -0.205 eV/f.u. The total energy comes out at -34.28 eV/atom. Its crystal system is cubic.